DFT (PBE-GGA) results for a relaxed CoPRh2 crystal.

Output
- calculated formation energy (meV per atom) = -128
- magnetization (μB/f.u.) = 1.8
- mass density (g/cm3) = 9.51
- crystal system = trigonal

The structure in POSCAR format:
```
CoPRh2
1.0
7.9759 0.0019 0.0011
7.4969 2.7225 0.0011
7.4969 1.3200 2.3811
P Co Rh
1 1 2
direct
0.7542 0.7542 0.7542 P
0.4895 0.4895 0.4895 Co
0.2451 0.2451 0.2451 Rh
0.0111 0.0111 0.0111 Rh
```